(1)
Below is crystalline LaY2MoN4 at its relaxed geometry, with properties calculated at the PBE level.

Properties
Uncorrected formation energy ... -1.16 eV per atom
Electronic total energy ... -8.91 eV per atom

```
data_LaY2MoN4
_chemical_formula_sum 'La4 Y8 Mo4 N16'
_cell_length_a 3.4566
_cell_length_b 11.9636
_cell_length_c 11.9781
_cell_angle_alpha 90.00
_cell_angle_beta 90.00
_cell_angle_gamma 90.00
_space_group_name_H-M_alt 'C m c m'
_space_group_IT_number 63
_space_group_name_Hall '-C 2c 2'
loop_
_atom_site_label
_atom_site_type_symbol
_atom_site_fract_x
_atom_site_fract_y
_atom_site_fract_z
La1 La 0.0000 0.0869 0.2500
Y1 Y 0.0000 0.3705 0.0401
Mo1 Mo 0.0000 0.1707 0.7500
N1 N 0.0000 0.0000 0.0000
N2 N 0.0000 0.2625 0.6196
N3 N 0.0000 0.4302 0.2500
```

(2)
Below is crystalline La2YMo2N6 at its relaxed geometry, with properties calculated at the PBE level.

Properties
Uncorrected formation energy ... -0.84 eV per atom
Electronic total energy ... -8.84 eV per atom

```
data_La2YMo2N6
_chemical_formula_sum 'La6 Y3 Mo6 N18'
_cell_length_a 5.8265
_cell_length_b 5.8265
_cell_length_c 18.4630
_cell_angle_alpha 90.00
_cell_angle_beta 90.00
_cell_angle_gamma 120.00
_space_group_name_H-M_alt 'R -3 m'
_space_group_IT_number 166
_space_group_name_Hall '-R 3 2"'
loop_
_atom_site_label
_atom_site_type_symbol
_atom_site_fract_x
_atom_site_fract_y
_atom_site_fract_z
La1 La 0.0000 0.0000 0.2019
Y1 Y 0.0000 0.0000 0.0000
Mo1 Mo 0.0000 0.0000 0.3985
N1 N 0.0098 0.5049 0.7629
```

(3)
Below is crystalline La2ZnMoN at its relaxed geometry, with properties calculated at the PBE level.

Properties
Uncorrected formation energy ... -0.51 eV per atom
Electronic total energy ... -6.57 eV per atom

```
data_La2ZnMoN
_chemical_formula_sum 'La2 Zn1 Mo1 N1'
_cell_length_a 5.2468
_cell_length_b 5.2468
_cell_length_c 4.0000
_cell_angle_alpha 90.00
_cell_angle_beta 90.00
_cell_angle_gamma 90.00
_space_group_name_H-M_alt 'P 4/m m m'
_space_group_IT_number 123
_space_group_name_Hall '-P 4 2'
loop_
_atom_site_label
_atom_site_type_symbol
_atom_site_fract_x
_atom_site_fract_y
_atom_site_fract_z
La1 La 0.0000 0.5000 0.0000
Zn1 Zn 0.0000 0.0000 0.5000
Mo1 Mo 0.5000 0.5000 0.5000
N1 N 0.5000 0.5000 0.0000
```